A relaxed ZrSi2Rh crystal. Source: Alexandria via LeMat-Bulk, functional PBE-GGA.

a = 5.1366 Å, b = 5.1366 Å, c = 5.1366 Å
α = 136.74°, β = 136.74°, γ = 62.84°
Closest atoms and distances in Å follow each position.
Atoms (fractional coordinates):
Zr1 0.0000 0.0000 0.0000  8 Si 2.68-2.90, 4 Rh 2.90
Si1 0.5000 0.5000 0.0000  4 Zr 2.68, 4 Rh 2.90, 4 Si 2.90
Si2 0.7500 0.2500 0.5000  4 Rh 2.68, 4 Zr 2.90, 4 Si 2.90
Rh1 0.2500 0.7500 0.5000  8 Si 2.68-2.90, 4 Zr 2.90

As for the space-group type: I-4m2, No. 119. The value obtained for the total energy is -7.24 eV per atom. The crystal system is tetragonal. The size of the total moment is 0.00 μB/atom.